[1]
First-principles (GGA-PBE) data for crystalline Li3DyPd2 at its relaxed geometry, as listed in Alexandria.

Computed properties:
Formation enthalpy at 0 K ... -496 meV per atom
Spin magnetization ... 0.00 μB per atom
N(E_F) ... 4.7 states/eV/cell
Total DFT energy (no corrections) ... -3.95 eV/atom
SG ... C2/m (12)
V ... 17.40 Å³ per atom

a b c (Å): 7.1468 7.1468 8.4374
angles (deg): 117.66 117.66 33.64
Atoms (fractional coordinates):
Li 0.0600 0.0600 0.3957
Li 0.2792 0.2792 0.4483
Li 0.4181 0.4181 0.3080
Li 0.5819 0.5819 0.6920
Li 0.7208 0.7208 0.5517
Li 0.9400 0.9400 0.6043
Dy 0.1349 0.1349 0.0200
Dy 0.8651 0.8651 0.9800
Pd 0.2097 0.2097 0.7470
Pd 0.4361 0.4361 0.8106
Pd 0.5639 0.5639 0.1894
Pd 0.7903 0.7903 0.2530

=====

[2]
First-principles (GGA-PBE) data for crystalline Ba2InHgPd at its relaxed geometry, as listed in Alexandria.

Computed properties:
Formation enthalpy at 0 K ... -51 meV per atom
Spin magnetization ... 0.00 μB per atom
N(E_F) ... 4.7 states/eV/cell
Total DFT energy (no corrections) ... -2.47 eV/atom
SG ... P4/mmm (123)
Energy above the lowest structure with this stoichiometry ... 377 meV/atom
V ... 41.84 Å³ per atom

a b c (Å): 6.3982 6.3982 5.1100
angles (deg): 90.00 90.00 90.00
Atoms (fractional coordinates):
Ba 0.0000 0.5000 0.0000
Ba 0.5000 0.0000 0.0000
In 0.0000 0.0000 0.5000
Hg 0.5000 0.5000 0.0000
Pd 0.5000 0.5000 0.5000

=====

[3]
First-principles (GGA-PBE) data for crystalline TbZnGa4Cu2 at its relaxed geometry, as listed in Alexandria.

Computed properties:
Formation enthalpy at 0 K ... -204 meV per atom
Spin magnetization ... 0.00 μB per atom
N(E_F) ... 2.9 states/eV/cell
Total DFT energy (no corrections) ... -3.48 eV/atom
SG ... R-3m (166)
V ... 17.13 Å³ per atom

a b c (Å): 8.9507 8.9507 8.9507
angles (deg): 27.72 27.72 27.72
Atoms (fractional coordinates):
Tb 0.0000 0.0000 0.0000
Zn 0.5000 0.5000 0.5000
Ga 0.1247 0.1247 0.1247
Ga 0.3972 0.3972 0.3972
Ga 0.6028 0.6028 0.6028
Ga 0.8753 0.8753 0.8753
Cu 0.2414 0.2414 0.2414
Cu 0.7586 0.7586 0.7586

=====

Question: What is the total DFT energy (no corrections) in the third record?
Answer: -3.48 eV/atom

=====

Question: Look up the formation enthalpy at 0 K of the third one.
Answer: -204 meV per atom